(1)
Below is crystalline Tb2PrCd2 at its relaxed geometry, with properties calculated at the PBE level.

a = 4.9069 Å, b = 4.9069 Å, c = 7.0933 Å
α = 107.24°, β = 107.24°, γ = 88.80°
With the nearest neighbours (Å) after each atom.
Fractional coordinates of all 5 atoms:
1 Tb 0.2502 0.7498 0.0000  4 Cd 3.10-3.13, 2 Tb 3.43-3.44
2 Tb 0.7498 0.2502 0.0000  4 Cd 3.10-3.13, 2 Tb 3.43-3.44
3 Pr 0.0000 0.0000 0.5000  6 Cd 3.45-3.69
4 Cd 0.3708 0.3708 0.2978  1 Cd 2.68
5 Cd 0.6292 0.6292 0.7022  1 Cd 2.68

Calculated values
- SG: No. 12
- Energy above the most stable polymorph in this dataset: 0.196 eV/atom



(2)
Below is crystalline Tb2PrCd8 at its relaxed geometry, with properties calculated at the PBE level.

a = 9.0088 Å, b = 9.0088 Å, c = 5.3482 Å
α = 107.13°, β = 107.13°, γ = 125.03°
With the nearest neighbours (Å) after each atom.
Fractional coordinates of all 11 atoms:
1 Tb 0.1902 0.8098 0.0000  12 Cd 3.18-3.32
2 Tb 0.8098 0.1902 0.0000  12 Cd 3.18-3.32
3 Pr 0.5000 0.5000 0.5000  6 Cd 3.24-3.48
4 Cd 0.0036 0.0036 0.7550  2 Cd 2.66-2.69
5 Cd 0.1374 0.3983 0.7655  6 Cd 2.97-3.29, 3 Tb 3.23-3.32
6 Cd 0.2975 0.7025 0.5000  6 Cd 3.17-3.29, 4 Tb 3.18-3.21, 1 Pr 3.24
7 Cd 0.3983 0.1374 0.7655  6 Cd 2.97-3.29, 3 Tb 3.23-3.32
8 Cd 0.6017 0.8626 0.2345  6 Cd 2.97-3.29, 3 Tb 3.23-3.32
9 Cd 0.7025 0.2975 0.5000  6 Cd 3.17-3.29, 4 Tb 3.18-3.21, 1 Pr 3.24
10 Cd 0.8626 0.6017 0.2345  6 Cd 2.97-3.29, 3 Tb 3.23-3.32
11 Cd 0.9964 0.9964 0.2450  2 Cd 2.66-2.69

Calculated values
- SG: No. 12



(3)
Below is crystalline Tb2Pr3Cd4 at its relaxed geometry, with properties calculated at the PBE level.

a = 10.4615 Å, b = 10.4615 Å, c = 8.1790 Å
α = 90.00°, β = 90.00°, γ = 142.46°
With the nearest neighbours (Å) after each atom.
Fractional coordinates of all 18 atoms:
1 Tb 0.0886 0.9114 0.9006  5 Cd 3.32-3.67, 1 Pr 3.72
2 Tb 0.4114 0.5886 0.4006  5 Cd 3.32-3.67, 1 Pr 3.72
3 Tb 0.5886 0.4114 0.5994  5 Cd 3.32-3.67, 1 Pr 3.72
4 Tb 0.9114 0.0886 0.0993  5 Cd 3.32-3.67, 1 Pr 3.72
5 Pr 0.0000 0.0000 0.5000  6 Cd 3.08
6 Pr 0.0036 0.4964 0.7500  5 Cd 3.19-3.32, 2 Pr 3.37
7 Pr 0.4964 0.0036 0.2500  5 Cd 3.19-3.32, 2 Pr 3.37
8 Pr 0.5000 0.5000 0.0000  6 Cd 3.08
9 Pr 0.5036 0.9964 0.7500  5 Cd 3.19-3.32, 2 Pr 3.37
10 Pr 0.9964 0.5036 0.2500  5 Cd 3.19-3.32, 2 Pr 3.37
11 Cd 0.1551 0.8449 0.5204  5 Pr 3.08-3.32, 2 Cd 3.15, 1 Tb 3.38
12 Cd 0.1702 0.3298 0.7500  3 Pr 3.08-3.30, 4 Cd 3.15-3.37, 2 Tb 3.32
13 Cd 0.3298 0.1702 0.2500  3 Pr 3.08-3.30, 4 Cd 3.15-3.37, 2 Tb 3.32
14 Cd 0.3449 0.6551 0.0204  5 Pr 3.08-3.32, 2 Cd 3.15, 1 Tb 3.38
15 Cd 0.6551 0.3449 0.9796  5 Pr 3.08-3.32, 2 Cd 3.15, 1 Tb 3.38
16 Cd 0.6702 0.8298 0.7500  3 Pr 3.08-3.30, 4 Cd 3.15-3.37, 2 Tb 3.32
17 Cd 0.8298 0.6702 0.2500  3 Pr 3.08-3.30, 4 Cd 3.15-3.37, 2 Tb 3.32
18 Cd 0.8449 0.1551 0.4796  5 Pr 3.08-3.32, 2 Cd 3.15, 1 Tb 3.38

Calculated values
- SG: No. 64



no.,raw total energy (eV per atom),DFT formation energy (eV per atom),DOS at the Fermi energy (states/eV per atom)
1,-3.231,-0.057,1.54
2,-2.216,-0.274,0.61
3,-3.145,-0.116,1.06